Entry from the Alexandria database: CaVO2F after structural relaxation (GGA+U).

The structure in POSCAR format:
```
CaVO2F
1.0
3.955 0.000 0.000
0.000 3.955 0.000
0.000 0.000 3.975
Ca V O F
1 1 2 1
Cartesian
0.000 0.000 0.000 Ca
1.978 1.978 1.988 V
0.000 1.978 1.988 O
1.978 0.000 1.988 O
1.978 1.978 0.000 F
```

Summary:
Density of states at the Fermi level   0.0 states/eV/f.u.
Size of the total moment   0.40 μB per atom
Total energy   -34.1 eV/cell
Crystal system   tetragonal